Record 1
First-principles (PBEsol) data for a relaxed structure of Ta2OsPt, as listed in Alexandria.

Cell: 4.0607 4.0607 7.6615 Å, 90.00 90.00 90.00°
Last column: nearest neighbours and their distance in Å.
Space group I4/mmm (No. 139)
Asymmetric unit:
Ta 0.0000 0.5000 0.2500 [4 per cell]  4 Os 2.79, 4 Pt 2.79, 4 Ta 2.87
Os 0.0000 0.0000 0.0000 [2 per cell]  8 Ta 2.79, 4 Pt 2.87
Pt 0.0000 0.0000 0.5000 [2 per cell]  8 Ta 2.79, 4 Os 2.87

The formation energy comes out at -0.463 eV/atom. The total magnetization comes out at 0.001 μB per cell. The density comes out at 19.6 g cm⁻³.



Record 2
First-principles (PBEsol) data for a relaxed structure of BaMoPtN2, as listed in Alexandria.

Cell: 3.9672 3.9672 7.1647 Å, 90.00 90.00 90.00°
Last column: nearest neighbours and their distance in Å.
Space group P4/mmm (No. 123)
Asymmetric unit:
Ba 0.0000 0.0000 0.0000 [1 per cell]  4 Pt 2.81
Mo 0.0000 0.0000 0.5000 [1 per cell]  4 N 1.98
Pt 0.5000 0.5000 0.0000 [1 per cell]  4 Ba 2.81
N 0.0000 0.5000 0.5000 [2 per cell]  2 Mo 1.98

The total magnetization comes out at 0.747 μB per cell. The density comes out at 6.7 g cm⁻³. Its uncorrected formation energy is 797.8 meV/atom.



Record 3
First-principles (PBEsol) data for a relaxed structure of MgCrTe2, as listed in Alexandria.

Cell: 4.0828 4.0828 19.9576 Å, 90.00 90.00 120.00°
Last column: nearest neighbours and their distance in Å.
Space group R-3m (No. 166, hexagonal axes)
Asymmetric unit:
Mg 0.0000 0.0000 0.0000 [3 per cell]  6 Te 2.96
Cr 0.0000 0.0000 0.5000 [3 per cell]  6 Te 2.82
Te 0.0000 0.0000 0.2439 [6 per cell]  3 Cr 2.82, 3 Mg 2.96

The total magnetization comes out at 12.005 μB per cell. The density comes out at 5.7 g cm⁻³. Its uncorrected formation energy is -309.5 meV/atom.



Record 4
First-principles (PBEsol) data for a relaxed structure of Sn4SI6, as listed in Alexandria.

Cell: 14.0020 4.3525 24.9280 Å, 90.00 93.47 90.00°
Last column: nearest neighbours and their distance in Å.
Space group C2/m (No. 12)
Asymmetric unit:
Sn 0.0359 0.0000 0.2164 [4 per cell]  6 I 3.10-3.21
Sn 0.1279 0.0000 0.4821 [4 per cell]  3 S 2.63-2.73
Sn 0.2004 0.0000 0.6464 [4 per cell]  1 S 2.63
Sn 0.2260 0.5000 0.9146 [4 per cell]  5 I 3.06-3.17
S 0.2242 0.5000 0.4478 [4 per cell]  4 Sn 2.63-2.73
I 0.0623 0.0000 0.8987 [4 per cell]  3 Sn 3.11-3.17
I 0.0668 0.5000 0.5811 [4 per cell]  4 Sn 3.24-3.44
I 0.1032 0.5000 0.7464 [4 per cell]  2 Sn 3.10
I 0.1393 0.0000 0.3347 [4 per cell]  3 Sn 3.14-3.21
I 0.1421 0.5000 0.0251 [4 per cell]  3 Sn 3.06-3.17
I 0.1816 0.5000 0.1810 [4 per cell]  2 Sn 3.14

The total magnetization comes out at 0.000 μB per cell. The density comes out at 5.6 g cm⁻³. Its uncorrected formation energy is -472.2 meV/atom.



Record 5
First-principles (PBEsol) data for a relaxed structure of NiAu3, as listed in Alexandria.

Cell: 8.8647 8.8647 2.7463 Å, 90.00 90.00 120.00°
Last column: nearest neighbours and their distance in Å.
Space group R-3m (No. 166, hexagonal axes)
Asymmetric unit:
Ni 0.0000 0.0000 0.0000 [3 per cell]  6 Au 2.72, 2 Ni 2.75
Au 0.0000 0.5000 0.0000 [9 per cell]  2 Ni 2.72, 6 Au 2.72-2.75

The formation energy comes out at 0.157 eV/atom. The total magnetization comes out at 0.003 μB per cell. The density comes out at 17.3 g cm⁻³.



Record 6
First-principles (PBEsol) data for a relaxed structure of ScNi2Os2, as listed in Alexandria.

Cell: 3.8173 3.8173 10.4526 Å, 90.00 90.00 90.00°
Last column: nearest neighbours and their distance in Å.
Space group I4/mmm (No. 139)
Asymmetric unit:
Sc 0.0000 0.0000 0.0000 [2 per cell]  8 Os 2.93, 8 Ni 3.24
Ni 0.0000 0.5000 0.2500 [4 per cell]  4 Os 2.41, 4 Ni 2.70
Os 0.0000 0.0000 0.3909 [4 per cell]  1 Os 2.28, 4 Ni 2.41

The formation energy comes out at 0.147 eV/atom. The total magnetization comes out at 0.000 μB per cell. The density comes out at 11.8 g cm⁻³.



Record 7
First-principles (PBEsol) data for a relaxed structure of CoMoPt2, as listed in Alexandria.

Cell: 2.7190 2.7190 26.2403 Å, 90.00 90.00 120.00°
Last column: nearest neighbours and their distance in Å.
Space group R-3m (No. 166, hexagonal axes)
Asymmetric unit:
Co 0.0000 0.0000 0.0000 [3 per cell]  6 Pt 2.63, 6 Co 2.72
Mo 0.0000 0.0000 0.5000 [3 per cell]  6 Mo 2.72, 6 Pt 2.76
Pt 0.0000 0.0000 0.2531 [6 per cell]  3 Co 2.63, 6 Pt 2.72, 3 Mo 2.76

For the energy above the most stable polymorph in this dataset, the calculation gives 0.1410 eV per atom. The formation energy comes out at -0.052 eV/atom. The total magnetization comes out at 5.201 μB per cell. The density comes out at 16.2 g cm⁻³.



Record 8
First-principles (PBEsol) data for a relaxed structure of CoP2IrCl, as listed in Alexandria.

Cell: 4.1891 4.1891 4.3945 Å, 90.00 90.00 90.00°
Last column: nearest neighbours and their distance in Å.
Space group P4/mmm (No. 123)
Asymmetric unit:
Co 0.0000 0.0000 0.0000 [1 per cell]  4 P 2.09, 2 Cl 2.20
P 0.0000 0.5000 0.0000 [2 per cell]  2 Co 2.09
Ir 0.5000 0.5000 0.5000 [1 per cell]  4 Cl 2.96, 8 P 3.04
Cl 0.0000 0.0000 0.5000 [1 per cell]  2 Co 2.20

The total magnetization comes out at 0.000 μB per cell. The density comes out at 7.5 g cm⁻³. Its uncorrected formation energy is 850.5 meV/atom.



Record 9
First-principles (PBEsol) data for a relaxed structure of SiHg2As, as listed in Alexandria.

Cell: 2.9610 5.3328 10.1704 Å, 90.00 90.00 90.00°
Last column: nearest neighbours and their distance in Å.
Space group Cmmm (No. 65)
Asymmetric unit:
Si 0.0000 0.0000 0.0000 [2 per cell]  4 Hg 2.88, 6 Si 2.96-3.05
Hg 0.0000 0.5000 0.2428 [4 per cell]  2 Si 2.88, 6 Hg 2.96-3.05, 2 As 3.01
As 0.0000 0.0000 0.5000 [2 per cell]  6 As 2.96-3.05, 4 Hg 3.01

For the energy above the most stable polymorph in this dataset, the calculation gives 0.2698 eV per atom. The total magnetization comes out at 0.001 μB per cell. The density comes out at 10.4 g cm⁻³. Its uncorrected formation energy is 395.6 meV/atom.



Record 10
First-principles (PBEsol) data for a relaxed structure of Sr2CaSi2, as listed in Alexandria.

Cell: 7.8634 7.8634 4.6556 Å, 90.00 90.00 90.00°
Last column: nearest neighbours and their distance in Å.
Space group P4/mbm (No. 127)
Asymmetric unit:
Sr 0.1766 0.3234 0.0000 [4 per cell]  6 Si 3.27-3.34
Ca 0.0000 0.0000 0.5000 [2 per cell]  4 Si 3.20
Si 0.1080 0.6080 0.5000 [4 per cell]  1 Si 2.40

The total magnetization comes out at 0.766 μB per cell. The density comes out at 3.1 g cm⁻³. Its uncorrected formation energy is -405.0 meV/atom.



Record 11
First-principles (PBEsol) data for a relaxed structure of BaMnO2F, as listed in Alexandria.

Cell: 3.9054 3.9054 4.2422 Å, 90.00 90.00 90.00°
Last column: nearest neighbours and their distance in Å.
Space group P4/mmm (No. 123)
Asymmetric unit:
Ba 0.0000 0.0000 0.0000 [1 per cell]  4 F 2.76, 8 O 2.88
Mn 0.5000 0.5000 0.5000 [1 per cell]  4 O 1.95, 2 F 2.12
O 0.0000 0.5000 0.5000 [2 per cell]  2 Mn 1.95
F 0.5000 0.5000 0.0000 [1 per cell]  2 Mn 2.12

The total magnetization comes out at 4.000 μB per cell. The density comes out at 6.2 g cm⁻³. Its uncorrected formation energy is -2466.5 meV/atom.



Record 12
First-principles (PBEsol) data for a relaxed structure of Mn2CoRe, as listed in Alexandria.

Cell: 8.3325 2.5573 4.3925 Å, 90.00 100.29 90.00°
Last column: nearest neighbours and their distance in Å.
Space group Cm (No. 8)
Asymmetric unit:
Mn 0.0000 0.0000 0.0000 [2 per cell]  5 Mn 2.43-2.56, 3 Co 2.52-2.54, 4 Re 2.54
Mn 0.2425 0.5000 0.2151 [2 per cell]  5 Mn 2.43-2.56, 4 Co 2.44-2.65, 3 Re 2.56-2.61
Co 0.2515 0.0000 0.7458 [2 per cell]  7 Mn 2.44-2.65, 3 Re 2.50-2.53, 2 Co 2.56
Re 0.9995 0.5000 0.4997 [2 per cell]  3 Co 2.50-2.53, 7 Mn 2.54-2.61, 2 Re 2.56

The formation energy comes out at 0.094 eV/atom. The total magnetization comes out at 0.550 μB per cell. The density comes out at 12.8 g cm⁻³.



- density of number 9 (SiHg2As)?
  10.4 g cm⁻³